DFT (GGA+U) results for a relaxed Mn3O2F4 crystal.

Results
The value obtained for the density of states at the Fermi level is 2.615 states/eV/cell. Its space-group type is C2/m, No. 12. Its offset from the most stable computed form is 11 meV per atom.

Cell lengths 4.833, 4.833, 9.457 Å; angles 90.02, 90.02, 95.27 degrees
Sites, in units of the cell vectors:
Mn: 0.000 0.000 0.000
Mn: 0.001 0.001 0.658
Mn: 0.469 0.469 0.169
Mn: 0.500 0.500 0.500
Mn: 0.531 0.531 0.831
Mn: 0.999 0.999 0.342
O: 0.172 0.172 0.171
O: 0.197 0.197 0.501
O: 0.803 0.803 0.499
O: 0.828 0.828 0.829
F: 0.214 0.214 0.826
F: 0.298 0.684 0.334
F: 0.302 0.698 0.000
F: 0.316 0.702 0.666
F: 0.684 0.298 0.334
F: 0.698 0.302 0.000
F: 0.702 0.316 0.666
F: 0.786 0.786 0.174